Hf3SnB2: optimized geometry, PBE.

Unit cell a=3.417 b=3.417 c=20.447 alpha=90.00 beta=90.00 gamma=120.00
Fractional positions:
1 B 0.333 0.667 0.070
2 B 0.333 0.667 0.430
3 B 0.667 0.333 0.570
4 B 0.667 0.333 0.930
5 Hf 0.000 0.000 0.000
6 Hf 0.667 0.333 0.131
7 Hf 0.667 0.333 0.369
8 Hf 0.000 0.000 0.500
9 Hf 0.333 0.667 0.631
10 Hf 0.333 0.667 0.869
11 Sn 0.000 0.000 0.250
12 Sn 0.000 0.000 0.750



HfSn2B: optimized geometry, PBE.

Unit cell a=4.877 b=4.877 c=4.877 alpha=60.00 beta=60.00 gamma=60.00
Fractional positions:
1 B 0.500 0.500 0.500
2 Hf 0.250 0.250 0.250
3 Sn 0.000 0.000 0.000
4 Sn 0.750 0.750 0.750



Hf4TlSnB2: optimized geometry, PBE.

Unit cell a=3.432 b=3.432 c=14.928 alpha=90.00 beta=90.00 gamma=120.00
Fractional positions:
1 B 0.333 0.667 0.253
2 B 0.333 0.667 0.747
3 Hf 0.000 0.000 0.169
4 Hf 0.667 0.333 0.338
5 Hf 0.667 0.333 0.662
6 Hf 0.000 0.000 0.831
7 Sn 0.000 0.000 0.500
8 Tl 0.667 0.333 0.000



SrHfB: optimized geometry, PBE.

Unit cell a=4.653 b=4.653 c=4.653 alpha=60.00 beta=60.00 gamma=60.00
Fractional positions:
1 B 0.250 0.250 0.250
2 Hf 0.750 0.750 0.750
3 Sr 0.000 0.000 0.000



Sr2HfB: optimized geometry, PBE.

Unit cell a=5.196 b=5.196 c=5.196 alpha=60.00 beta=60.00 gamma=60.00
Fractional positions:
1 B 0.500 0.500 0.500
2 Hf 0.250 0.250 0.250
3 Sr 0.000 0.000 0.000
4 Sr 0.750 0.750 0.750



SrHfB: optimized geometry, PBE.

Unit cell a=4.513 b=4.513 c=4.513 alpha=60.00 beta=60.00 gamma=60.00
Fractional positions:
1 B 0.000 0.000 0.000
2 Hf 0.250 0.250 0.250
3 Sr 0.750 0.750 0.750



Number 1: E_tot -100.77 eV per cell. Number 2: E_tot -20.93 eV per cell. Number 3: E_tot -63.42 eV per cell. Number 4: E_tot -11.86 eV per cell. Number 5: E_tot -14.77 eV per cell. Number 6: E_tot -15.91 eV per cell.